# PBE with a Hubbard U PuMn2O6, relaxed
data_PuMn2O6
_cell_length_a 5.1938
_cell_length_b 4.8131
_cell_length_c 10.5669
_cell_angle_alpha 90.00
_cell_angle_beta 119.28
_cell_angle_gamma 90.00
_symmetry_space_group_name_H-M 'P 1 21/c 1'
_symmetry_Int_Tables_number 14
_symmetry_space_group_name_Hall '-P 2ybc'
loop_
_atom_site_label
_atom_site_fract_x
_atom_site_fract_y
_atom_site_fract_z
_atom_site_occupancy
Pu1 0.0000 0.0000 0.0000 1
Mn1 0.3039 0.0004 0.8037 1
O1 0.0146 0.2269 0.8290 1
O2 0.3140 0.7044 0.4993 1
O3 0.3569 0.2263 0.1714 1
# * total DFT energy (no corrections): -8.506 eV/atom
# * V: 12.800 Å³/atom
# * theoretical density: 6.48 g/cm3
# * Fermi-level density of states: 1.866 states/eV/f.u.